DFT (PBE) results for a relaxed structure of LiCu2H4Ir.

Cell lengths 4.9981, 4.9981, 4.9981 Å; angles 131.73, 131.73, 70.66 degrees
Last column: nearest neighbours and their distance in Å.
Atoms (fractional coordinates):
Li 0.0000 0.0000 0.0000  4 H 1.93
Cu 0.2500 0.7500 0.5000  4 H 1.73
Cu 0.7500 0.2500 0.5000  4 H 1.73
H 0.1406 0.1406 0.5504  1 Ir 1.70, 2 Cu 1.73
H 0.4098 0.8594 0.0000  1 Ir 1.70, 2 Cu 1.73
H 0.5902 0.5902 0.4496  1 Ir 1.70, 2 Cu 1.73
H 0.8594 0.4098 0.0000  1 Ir 1.70, 2 Cu 1.73
Ir 0.5000 0.5000 0.0000  4 H 1.70

Output
Its size of the total moment is 0.00 μB/f.u. The calculated total energy is -32.5 eV per formula unit.